No. 1
Entry from Alexandria via LeMat-Bulk: a geometry-optimized MgNiBr structure (PBE-GGA).

Structure (CIF):
```
data_MgNiBr
_symmetry_space_group_name_H-M 'F -4 3 m'
_symmetry_Int_Tables_number 216
_symmetry_space_group_name_Hall 'F -4 2 3'
_cell_length_a 6.338
_cell_length_b 6.338
_cell_length_c 6.338
_cell_angle_alpha 90.00
_cell_angle_beta 90.00
_cell_angle_gamma 90.00
loop_
_atom_site_label
_atom_site_fract_x
_atom_site_fract_y
_atom_site_fract_z
_atom_site_occupancy
Mg1 0.000 0.000 0.000 1
Ni1 0.250 0.250 0.750 1
Br1 0.250 0.250 0.250 1
```

Calculated density, Mg/m³: 4.25
Distance to the lowest polymorph of the same formula, meV/atom: 410
DOS(E_F), states/eV per cell: 9.41
Raw formation energy, eV per atom: 0.35
Calculated volume, Å³ per cell: 254.57
Total energy, eV per cell: -32.0



No. 2
Entry from Alexandria via LeMat-Bulk: a geometry-optimized Tb3Tm5Th3 structure (PBE-GGA).

Structure (CIF):
```
data_Tb3Tm5Th3
_symmetry_space_group_name_H-M 'P -6 2 m'
_symmetry_Int_Tables_number 189
_symmetry_space_group_name_Hall 'P -6 -2'
_cell_length_a 9.6044
_cell_length_b 9.6044
_cell_length_c 5.3722
_cell_angle_alpha 90.00
_cell_angle_beta 90.00
_cell_angle_gamma 120.00
loop_
_atom_site_label
_atom_site_fract_x
_atom_site_fract_y
_atom_site_fract_z
_atom_site_occupancy
Tb1 0.0000 0.5726 0.0000 1
Tm1 0.0000 0.3705 0.5000 1
Tm2 0.3333 0.6667 0.5000 1
Th1 0.0000 0.7415 0.5000 1
```

Calculated density, Mg/m³: 7.81
Distance to the lowest polymorph of the same formula, meV/atom: 719
DOS(E_F), states/eV per cell: 17.51
Calculated volume, Å³ per cell: 429.17
Total energy, eV per cell: -48.8



No. 3
Entry from Alexandria via LeMat-Bulk: a geometry-optimized TbNdPu2Se4 structure (PBE-GGA).

Structure (CIF):
```
data_TbNdPu2Se4
_symmetry_space_group_name_H-M 'P 1 2/m 1'
_symmetry_Int_Tables_number 10
_cell_length_a 7.178
_cell_length_b 4.141
_cell_length_c 7.225
_cell_angle_alpha 90.00
_cell_angle_beta 109.31
_cell_angle_gamma 90.00
loop_
_symmetry_equiv_pos_as_xyz
'x,y,z'
'-x,-y,-z'
'-x,y,-z'
'x,-y,z'
loop_
_atom_site_label
_atom_site_fract_x
_atom_site_fract_y
_atom_site_fract_z
_atom_site_occupancy
Tb1 0.000 0.000 0.000 1
Nd1 0.500 0.500 0.000 1
Pu1 0.000 0.500 0.500 1
Pu2 0.500 0.000 0.500 1
Se1 0.243 0.000 0.746 1
Se2 0.245 0.500 0.250 1
```

Calculated density, Mg/m³: 9.07
DOS(E_F), states/eV per cell: 18.41
Raw formation energy, eV per atom: -1.69
Calculated volume, Å³ per cell: 202.65
Total energy, eV per cell: -65.5



No. 4
Entry from Alexandria via LeMat-Bulk: a geometry-optimized Na2TlIrN structure (PBE-GGA).

Structure (CIF):
```
data_Na2TlIrN
_symmetry_space_group_name_H-M 'P 4/m m m'
_symmetry_Int_Tables_number 123
_symmetry_space_group_name_Hall '-P 4 2'
_cell_length_a 5.103
_cell_length_b 5.103
_cell_length_c 3.751
_cell_angle_alpha 90.00
_cell_angle_beta 90.00
_cell_angle_gamma 90.00
loop_
_atom_site_label
_atom_site_fract_x
_atom_site_fract_y
_atom_site_fract_z
_atom_site_occupancy
Na1 0.000 0.500 0.000 1
Tl1 0.000 0.000 0.500 1
Ir1 0.500 0.500 0.500 1
N1 0.500 0.500 0.000 1
```

Calculated density, Mg/m³: 7.76
DOS(E_F), states/eV per cell: 1.14
Raw formation energy, eV per atom: -0.06
Calculated volume, Å³ per cell: 97.69
Total energy, eV per cell: -22.5



No. 5
Entry from Alexandria via LeMat-Bulk: a geometry-optimized Ac5LaPm2 structure (PBE-GGA).

Structure (CIF):
```
data_Ac5LaPm2
_symmetry_space_group_name_H-M 'I m m m'
_symmetry_Int_Tables_number 71
_symmetry_space_group_name_Hall '-I 2 2'
_cell_length_a 3.845
_cell_length_b 11.925
_cell_length_c 14.454
_cell_angle_alpha 90.00
_cell_angle_beta 90.00
_cell_angle_gamma 90.00
loop_
_atom_site_label
_atom_site_fract_x
_atom_site_fract_y
_atom_site_fract_z
_atom_site_occupancy
Ac1 0.000 0.000 0.000 1
Ac2 0.000 0.264 0.369 1
La1 0.000 0.500 0.000 1
Pm1 0.000 0.000 0.255 1
```

Calculated density, Mg/m³: 7.84
Distance to the lowest polymorph of the same formula, meV/atom: 0
DOS(E_F), states/eV per cell: 23.69
Calculated volume, Å³ per cell: 662.72
Total energy, eV per cell: -69.1



No. 6
Entry from Alexandria via LeMat-Bulk: a geometry-optimized Tl4RhBr7 structure (PBE-GGA).

Structure (CIF):
```
data_Tl4RhBr7
_symmetry_space_group_name_H-M 'C 1 2/m 1'
_symmetry_Int_Tables_number 12
_cell_length_a 21.395
_cell_length_b 5.125
_cell_length_c 7.817
_cell_angle_alpha 90.00
_cell_angle_beta 106.16
_cell_angle_gamma 90.00
loop_
_symmetry_equiv_pos_as_xyz
'x,y,z'
'-x,-y,-z'
'-x,y,-z'
'x,-y,z'
'x+1/2,y+1/2,z'
'-x+1/2,-y+1/2,-z'
'-x+1/2,y+1/2,-z'
'x+1/2,-y+1/2,z'
loop_
_atom_site_label
_atom_site_fract_x
_atom_site_fract_y
_atom_site_fract_z
_atom_site_occupancy
Tl1 0.076 0.000 0.154 1
Tl2 0.180 0.000 0.757 1
Rh1 0.000 0.500 0.500 1
Br1 0.000 0.000 0.500 1
Br2 0.063 0.500 0.825 1
Br3 0.106 0.500 0.421 1
Br4 0.221 0.000 0.186 1
```

Calculated density, Mg/m³: 5.97
DOS(E_F), states/eV per cell: 14.58
Raw formation energy, eV per atom: -0.66
Calculated volume, Å³ per cell: 823.24
Total energy, eV per cell: -72.8



No. 7
Entry from Alexandria via LeMat-Bulk: a geometry-optimized La2MgFeN structure (PBE-GGA).

Structure (CIF):
```
data_La2MgFeN
_symmetry_space_group_name_H-M 'P 4/m m m'
_symmetry_Int_Tables_number 123
_symmetry_space_group_name_Hall '-P 4 2'
_cell_length_a 5.394
_cell_length_b 5.394
_cell_length_c 3.644
_cell_angle_alpha 90.00
_cell_angle_beta 90.00
_cell_angle_gamma 90.00
loop_
_atom_site_label
_atom_site_fract_x
_atom_site_fract_y
_atom_site_fract_z
_atom_site_occupancy
La1 0.000 0.500 0.000 1
Mg1 0.000 0.000 0.500 1
Fe1 0.500 0.500 0.500 1
N1 0.500 0.500 0.000 1
```

Calculated density, Mg/m³: 5.83
DOS(E_F), states/eV per cell: 3.93
Raw formation energy, eV per atom: -0.45
Calculated volume, Å³ per cell: 106.01
Total energy, eV per cell: -30.5



No. 8
Entry from Alexandria via LeMat-Bulk: a geometry-optimized Nb2CoSb structure (PBE-GGA).

Structure (CIF):
```
data_Nb2CoSb
_symmetry_space_group_name_H-M 'I -4 2 d'
_symmetry_Int_Tables_number 122
_symmetry_space_group_name_Hall 'I -4 2bw'
_cell_length_a 7.247
_cell_length_b 7.247
_cell_length_c 5.533
_cell_angle_alpha 90.00
_cell_angle_beta 90.00
_cell_angle_gamma 90.00
loop_
_atom_site_label
_atom_site_fract_x
_atom_site_fract_y
_atom_site_fract_z
_atom_site_occupancy
Nb1 0.207 0.250 0.125 1
Co1 0.000 0.000 0.000 1
Sb1 0.000 0.000 0.500 1
```

Calculated density, Mg/m³: 8.38
DOS(E_F), states/eV per cell: 12.29
Raw formation energy, eV per atom: 0.18
Calculated volume, Å³ per cell: 290.64
Total energy, eV per cell: -122.6



No. 9
Entry from Alexandria via LeMat-Bulk: a geometry-optimized Mg2Cd2Au3 structure (PBE-GGA).

Structure (CIF):
```
data_Mg2Cd2Au3
_symmetry_space_group_name_H-M 'C m m m'
_symmetry_Int_Tables_number 65
_symmetry_space_group_name_Hall '-C 2 2'
_cell_length_a 3.126
_cell_length_b 25.801
_cell_length_c 3.399
_cell_angle_alpha 90.00
_cell_angle_beta 90.00
_cell_angle_gamma 90.00
loop_
_atom_site_label
_atom_site_fract_x
_atom_site_fract_y
_atom_site_fract_z
_atom_site_occupancy
Mg1 0.000 0.065 0.000 1
Cd1 0.000 0.201 0.000 1
Au1 0.000 0.372 0.500 1
Au2 0.000 0.500 0.500 1
```

Calculated density, Mg/m³: 10.47
DOS(E_F), states/eV per cell: 2.69
Calculated volume, Å³ per cell: 274.17
Total energy, eV per cell: -35.3



No. 10
Entry from Alexandria via LeMat-Bulk: a geometry-optimized CuPH2Se4 structure (PBE-GGA).

Structure (CIF):
```
data_CuPH2Se4
_symmetry_space_group_name_H-M 'P 1'
_symmetry_Int_Tables_number 1
_cell_length_a 5.783
_cell_length_b 6.020
_cell_length_c 6.389
_cell_angle_alpha 114.92
_cell_angle_beta 115.73
_cell_angle_gamma 91.49
loop_
_symmetry_equiv_pos_as_xyz
'x,y,z'
loop_
_atom_site_label
_atom_site_fract_x
_atom_site_fract_y
_atom_site_fract_z
_atom_site_occupancy
Cu1 0.000 0.000 0.000 1
P1 0.752 0.243 0.506 1
H1 0.305 0.009 0.512 1
H2 0.665 0.543 0.932 1
Se1 0.114 0.191 0.783 1
Se2 0.374 0.908 0.288 1
Se3 0.637 0.611 0.723 1
Se4 0.787 0.295 0.202 1
```

Calculated density, Mg/m³: 3.90
Calculated volume, Å³ per cell: 175.68
Total energy, eV per cell: -30.5